--- P ---
The following is a PBE-GGA calculation of an optimized crystal structure of RhBr2Cl, from Alexandria via LeMat-Bulk.

Unit cell a=4.854 b=4.854 c=4.854 alpha=60.00 beta=60.00 gamma=60.00
Site moments in Bohr magnetons follow the coordinates.
Element x y z (fractional)
Br1 0.750 0.750 0.750  0.05
Br2 0.250 0.250 0.250  0.05
Rh1 0.500 0.500 0.500  0.75
Cl1 0.000 0.000 0.000  -0.06

Output
The calculation puts the total magnetic moment at 0.827 μB per formula unit.

***

--- Q ---
The following is a PBE-GGA calculation of an optimized crystal structure of RhBr2Cl, from Alexandria via LeMat-Bulk.

Unit cell a=7.191 b=3.889 c=3.889 alpha=90.00 beta=90.00 gamma=90.00
Site moments in Bohr magnetons follow the coordinates.
Element x y z (fractional)
Br1 0.000 0.500 0.500  0.01
Rh1 0.500 0.000 0.500  1.56
Cl1 0.500 0.500 0.000  0.05
Br2 0.000 0.000 0.000  0.01

Output
The calculation puts the total magnetic moment at 1.839 μB per formula unit.

***

--- R ---
The following is a PBE-GGA calculation of an optimized crystal structure of RhBr2Cl, from Alexandria via LeMat-Bulk.

Unit cell a=3.582 b=6.836 c=6.836 alpha=43.53 beta=90.00 gamma=90.00
Element x y z (fractional)
Br1 0.500 0.269 0.269
Rh1 0.500 0.739 0.739
Br2 0.000 0.876 0.877
Cl1 0.000 0.615 0.615

Output
The calculation puts the total magnetic moment at 0.000 μB per formula unit.

***

Bottom line: R, by a margin of 900 meV/atom.

***

--- P ---
The following is a PBE-GGA calculation of an optimized crystal structure of RhBrCl2, from Alexandria via LeMat-Bulk.

Unit cell a=7.076 b=7.076 c=7.076 alpha=154.06 beta=140.40 gamma=47.95
Element x y z (fractional)
Cl1 0.643 0.143 0.500
Rh1 0.503 0.503 0.000
Br1 0.350 0.850 0.500
Cl2 0.003 0.003 0.000

Output
The calculation puts the total magnetic moment at 0.000 μB per formula unit.

***

--- Q ---
The following is a PBE-GGA calculation of an optimized crystal structure of RhBrCl2, from Alexandria via LeMat-Bulk.

Unit cell a=5.110 b=5.110 c=3.142 alpha=90.00 beta=90.00 gamma=90.43
Site moments in Bohr magnetons follow the coordinates.
Element x y z (fractional)
Rh1 0.500 0.000 0.500  1.85
Br1 0.000 0.500 0.500  0.18
Cl1 0.000 0.000 0.000  0.20
Cl2 0.500 0.500 0.000  0.20

Output
The calculation puts the total magnetic moment at 2.612 μB per formula unit.

***

Bottom line: P, by a margin of 785 meV/atom.

***

--- P ---
The following is a PBE-GGA calculation of an optimized crystal structure of RhSeBr2Cl, from Alexandria via LeMat-Bulk.

Unit cell a=5.166 b=5.166 c=4.719 alpha=90.00 beta=90.00 gamma=90.00
Element x y z (fractional)
Br1 0.000 0.500 0.000
Cl1 0.500 0.500 0.500
Rh1 0.000 0.000 0.000
Br2 0.500 0.000 0.000
Se1 0.000 0.000 0.500

Output
The calculation puts the total magnetic moment at 0.000 μB per formula unit.

***

--- Q ---
The following is a PBE-GGA calculation of an optimized crystal structure of RhSeBr2Cl, from Alexandria via LeMat-Bulk.

Unit cell a=5.176 b=5.176 c=5.065 alpha=90.00 beta=90.00 gamma=90.00
Site moments in Bohr magnetons follow the coordinates.
Element x y z (fractional)
Br1 0.000 0.500 0.000  0.08
Se1 0.000 0.000 0.500  0.21
Rh1 0.500 0.500 0.500  1.74
Br2 0.500 0.000 0.000  0.08
Cl1 0.000 0.000 0.000  -0.01

Output
The calculation puts the total magnetic moment at 2.364 μB per formula unit.

***

Bottom line: P, by a margin of 902 meV/atom.

***

--- P ---
The following is a PBE-GGA calculation of an optimized crystal structure of RuBrCl2, from Alexandria via LeMat-Bulk.

Unit cell a=3.680 b=6.798 c=6.806 alpha=40.11 beta=90.00 gamma=90.00
Site moments in Bohr magnetons follow the coordinates.
Element x y z (fractional)
Ru1 0.000 0.508 0.508  0.73
Br1 0.500 0.638 0.637  0.07
Cl1 0.500 0.383 0.384  0.02
Cl2 0.000 0.971 0.971  0.08

Output
The calculation puts the total magnetic moment at 0.998 μB per formula unit.

***

--- Q ---
The following is a PBE-GGA calculation of an optimized crystal structure of RuBrCl2, from Alexandria via LeMat-Bulk.

Unit cell a=3.812 b=4.749 c=4.749 alpha=90.00 beta=90.00 gamma=90.00
Site moments in Bohr magnetons follow the coordinates.
Element x y z (fractional)
Ru1 0.500 0.500 0.000  3.09
Cl1 0.000 0.000 0.000  0.15
Br1 0.500 0.000 0.500  0.14
Cl2 0.000 0.500 0.500  0.15

Output
The calculation puts the total magnetic moment at 3.812 μB per formula unit.

***

--- R ---
The following is a PBE-GGA calculation of an optimized crystal structure of RuBrCl2, from Alexandria via LeMat-Bulk.

Unit cell a=5.787 b=7.541 c=7.541 alpha=104.47 beta=111.79 gamma=111.79
Site moments in Bohr magnetons follow the coordinates.
Element x y z (fractional)
Cl1 0.661 0.933 0.274  0.03
Br1 0.714 0.305 0.979  0.03
Cl2 0.947 0.791 0.976  0.03
Br2 0.214 0.479 0.805  0.03
Ru1 0.695 0.631 0.131  0.32
Cl3 0.447 0.476 0.291  0.03
Cl4 0.161 0.774 0.433  0.03
Ru2 0.195 0.631 0.131  0.32

Output
The calculation puts the total magnetic moment at 0.452 μB per formula unit.

***

--- S ---
The following is a PBE-GGA calculation of an optimized crystal structure of RuBrCl2, from Alexandria via LeMat-Bulk.

Unit cell a=10.312 b=10.312 c=10.312 alpha=19.67 beta=19.67 gamma=19.67
Site moments in Bohr magnetons follow the coordinates.
Element x y z (fractional)
Cl1 0.875 0.875 0.875  0.01
Ru1 0.500 0.500 0.500  0.11
Br1 0.000 0.000 0.000  0.45
Cl2 0.125 0.125 0.125  0.01

Output
The calculation puts the total magnetic moment at 0.725 μB per formula unit.

***

Bottom line: R, by a margin of 126 meV/atom.

***

--- P ---
The following is a PBE-GGA calculation of an optimized crystal structure of RuBrCl2, from Alexandria via LeMat-Bulk.

Unit cell a=3.588 b=6.687 c=6.685 alpha=44.68 beta=90.00 gamma=90.00
Site moments in Bohr magnetons follow the coordinates.
Element x y z (fractional)
Cl1 0.000 0.123 0.123  0.04
Cl2 0.000 0.377 0.377  0.04
Ru1 0.500 0.250 0.250  0.95
Br1 0.500 0.750 0.750  0.15

Output
The calculation puts the total magnetic moment at 1.302 μB per formula unit.

***

--- Q ---
The following is a PBE-GGA calculation of an optimized crystal structure of RuBrCl2, from Alexandria via LeMat-Bulk.

Unit cell a=3.092 b=3.090 c=10.867 alpha=90.00 beta=90.00 gamma=90.00
Site moments in Bohr magnetons follow the coordinates.
Element x y z (fractional)
Ru1 0.500 0.500 0.250  2.70
Cl1 0.000 0.000 0.104  0.23
Cl2 0.000 0.000 0.396  0.23
Br1 0.500 0.500 0.750  0.01

Output
The calculation puts the total magnetic moment at 3.394 μB per formula unit.

***

--- R ---
The following is a PBE-GGA calculation of an optimized crystal structure of RuBrCl2, from Alexandria via LeMat-Bulk.

Unit cell a=6.989 b=6.989 c=6.643 alpha=58.26 beta=58.26 gamma=90.00
Element x y z (fractional)
Ru1 0.000 0.000 0.000
Cl1 0.375 0.253 0.750
Br1 0.500 0.500 0.000
Cl2 0.747 0.125 0.250
Cl3 0.875 0.997 0.750
Cl4 0.003 0.625 0.250
Br2 0.250 0.750 0.500
Ru2 0.750 0.250 0.500

Output
The calculation puts the total magnetic moment at 0.000 μB per formula unit.

***

Bottom line: P, by a margin of 512 meV/atom.

***

--- P ---
The following is a PBE-GGA calculation of an optimized crystal structure of RuBrCl2, from Alexandria via LeMat-Bulk.

Unit cell a=5.151 b=5.151 c=3.194 alpha=90.00 beta=90.00 gamma=98.32
Site moments in Bohr magnetons follow the coordinates.
Element x y z (fractional)
Cl1 0.500 0.500 0.000  0.19
Br1 0.000 0.500 0.500  0.26
Cl2 0.000 0.000 0.000  0.19
Ru1 0.500 0.000 0.500  2.99

Output
The calculation puts the total magnetic moment at 3.952 μB per formula unit.

***

--- Q ---
The following is a PBE-GGA calculation of an optimized crystal structure of RuBrCl2, from Alexandria via LeMat-Bulk.

Unit cell a=12.643 b=12.643 c=12.643 alpha=13.65 beta=13.65 gamma=13.65
Element x y z (fractional)
Cl1 0.058 0.058 0.058
Br1 0.500 0.500 0.500
Ru1 0.000 0.000 0.000
Cl2 0.942 0.942 0.942

Output
The calculation puts the total magnetic moment at 0.000 μB per formula unit.

***

Bottom line: Q, by a margin of 703 meV/atom.

***

--- P ---
The following is a PBE-GGA calculation of an optimized crystal structure of RuBrCl2, from Alexandria via LeMat-Bulk.

Unit cell a=5.033 b=5.055 c=4.992 alpha=81.25 beta=65.19 gamma=115.26
Site moments in Bohr magnetons follow the coordinates.
Element x y z (fractional)
Ru1 0.500 0.500 0.000  2.65
Cl1 0.000 0.000 0.000  0.08
Cl2 0.000 0.500 0.500  0.08
Br1 0.500 0.000 0.500  0.06

Output
The calculation puts the total magnetic moment at 3.185 μB per formula unit.

***

--- Q ---
The following is a PBE-GGA calculation of an optimized crystal structure of RuBrCl2, from Alexandria via LeMat-Bulk.

Unit cell a=3.343 b=6.606 c=4.230 alpha=90.00 beta=90.00 gamma=90.00
Site moments in Bohr magnetons follow the coordinates.
Element x y z (fractional)
Br1 0.000 0.500 0.500  0.04
Cl1 0.000 0.000 0.000  0.10
Ru1 0.500 0.000 0.500  2.63
Cl2 0.500 0.500 0.000  0.01

Output
The calculation puts the total magnetic moment at 3.058 μB per formula unit.

***

--- R ---
The following is a PBE-GGA calculation of an optimized crystal structure of RuBrCl2, from Alexandria via LeMat-Bulk.

Unit cell a=8.172 b=8.172 c=8.172 alpha=25.76 beta=25.76 gamma=25.76
Site moments in Bohr magnetons follow the coordinates.
Element x y z (fractional)
Br1 0.776 0.776 0.776  0.03
Cl1 0.220 0.220 0.220  0.04
Ru1 0.500 0.500 0.500  0.43
Cl2 0.004 0.004 0.004  0.39

Output
The calculation puts the total magnetic moment at 1.034 μB per formula unit.

***

--- S ---
The following is a PBE-GGA calculation of an optimized crystal structure of RuBrCl2, from Alexandria via LeMat-Bulk.

Unit cell a=7.121 b=7.121 c=7.121 alpha=155.20 beta=138.34 gamma=49.10
Site moments in Bohr magnetons follow the coordinates.
Element x y z (fractional)
Cl1 0.893 0.893 0.000  0.02
Br1 0.250 0.750 0.500  -0.01
Ru1 0.750 0.250 0.500  0.33
Cl2 0.607 0.607 0.000  0.02

Output
The calculation puts the total magnetic moment at 0.388 μB per formula unit.

***

Bottom line: S, by a margin of 33 meV/atom.

***

--- P ---
The following is a PBE-GGA calculation of an optimized crystal structure of RuBrCl2, from Alexandria via LeMat-Bulk.

Unit cell a=7.387 b=7.387 c=7.387 alpha=156.02 beta=143.32 gamma=44.30
Site moments in Bohr magnetons follow the coordinates.
Element x y z (fractional)
Cl1 0.640 0.140 0.500  0.01
Ru1 0.503 0.503 0.000  0.24
Br1 0.354 0.854 0.500  0.01
Cl2 0.003 0.003 0.000  0.00

Output
The calculation puts the total magnetic moment at 0.293 μB per formula unit.

***

--- Q ---
The following is a PBE-GGA calculation of an optimized crystal structure of RuBrCl2, from Alexandria via LeMat-Bulk.

Unit cell a=3.641 b=3.641 c=9.088 alpha=82.03 beta=82.03 gamma=50.46
Site moments in Bohr magnetons follow the coordinates.
Element x y z (fractional)
Cl1 0.975 0.975 0.101  0.00
Cl2 0.525 0.525 0.399  0.00
Ru1 0.250 0.250 0.250  0.16
Br1 0.750 0.750 0.750  0.00

Output
The calculation puts the total magnetic moment at 0.168 μB per formula unit.

***

--- R ---
The following is a PBE-GGA calculation of an optimized crystal structure of RuBrCl2, from Alexandria via LeMat-Bulk.

Unit cell a=3.950 b=3.950 c=9.181 alpha=90.00 beta=90.00 gamma=129.83
Site moments in Bohr magnetons follow the coordinates.
Element x y z (fractional)
Cl1 0.000 0.000 0.989  0.47
Cl2 0.500 0.500 0.318  0.12
Br1 0.500 0.500 0.695  0.13
Ru1 0.000 0.000 0.498  1.93

Output
The calculation puts the total magnetic moment at 3.015 μB per formula unit.

***

--- S ---
The following is a PBE-GGA calculation of an optimized crystal structure of RuBrCl2, from Alexandria via LeMat-Bulk.

Unit cell a=3.331 b=3.331 c=11.241 alpha=90.00 beta=90.00 gamma=127.41
Element x y z (fractional)
Cl1 0.000 0.000 0.088
Ru1 0.500 0.500 0.250
Br1 0.500 0.500 0.750
Cl2 0.000 0.000 0.412

Output
The calculation puts the total magnetic moment at 0.003 μB per formula unit.

***

Bottom line: Q, by a margin of 119 meV/atom.

***

--- P ---
The following is a PBE-GGA calculation of an optimized crystal structure of RuBrCl3, from Alexandria via LeMat-Bulk.

Unit cell a=5.653 b=7.102 c=6.573 alpha=89.96 beta=90.00 gamma=90.00
Site moments in Bohr magnetons follow the coordinates.
Element x y z (fractional)
Ru1 0.674 0.678 0.201  1.03
Cl1 0.465 0.402 0.201  0.17
Cl2 0.423 0.818 0.950  0.05
Cl3 0.924 0.535 0.450  0.05
Br1 0.892 0.973 0.201  0.23
Br2 0.392 0.380 0.701  0.23
Cl4 0.965 0.951 0.701  0.17
Ru2 0.174 0.674 0.701  1.03
Cl5 0.924 0.535 0.952  0.05
Cl6 0.424 0.818 0.452  0.05

Output
The calculation puts the total magnetic moment at 1.730 μB per formula unit.

***

--- Q ---
The following is a PBE-GGA calculation of an optimized crystal structure of RuBrCl3, from Alexandria via LeMat-Bulk.

Unit cell a=4.805 b=4.805 c=4.805 alpha=90.00 beta=90.00 gamma=90.00
Site moments in Bohr magnetons follow the coordinates.
Element x y z (fractional)
Cl1 0.000 0.500 0.000  0.09
Ru1 0.000 0.000 0.000  1.36
Cl2 0.000 0.000 0.500  0.07
Cl3 0.500 0.000 0.000  0.24
Br1 0.500 0.500 0.500  0.23

Output
The calculation puts the total magnetic moment at 2.241 μB per formula unit.

***

Bottom line: P, by a margin of 435 meV/atom.

***

--- P ---
The following is a PBE-GGA calculation of an optimized crystal structure of RuSBrCl2, from Alexandria via LeMat-Bulk.

Unit cell a=5.137 b=5.137 c=4.933 alpha=90.00 beta=90.00 gamma=90.00
Site moments in Bohr magnetons follow the coordinates.
Element x y z (fractional)
Br1 0.000 0.000 0.000  0.00
Cl1 0.500 0.000 0.000  0.03
Cl2 0.000 0.500 0.000  0.03
S1 0.000 0.000 0.500  0.05
Ru1 0.500 0.500 0.500  2.87

Output
The calculation puts the total magnetic moment at 3.337 μB per formula unit.

***

--- Q ---
The following is a PBE-GGA calculation of an optimized crystal structure of RuSBrCl2, from Alexandria via LeMat-Bulk.

Unit cell a=4.872 b=4.872 c=4.503 alpha=90.00 beta=90.00 gamma=90.00
Element x y z (fractional)
Cl1 0.000 0.500 0.000
Cl2 0.500 0.000 0.000
Br1 0.500 0.500 0.500
S1 0.000 0.000 0.500
Ru1 0.000 0.000 0.000

Output
The calculation puts the total magnetic moment at 0.000 μB per formula unit.

***

Bottom line: Q, by a margin of 1086 meV/atom.